DFT (PBE with a Hubbard U) results for a relaxed AcCr2GaO8 crystal.

Lattice parameters (Å, degrees): 5.4896 5.4896 6.8999 90.00 90.00 120.00
Closest atoms and distances in Å follow each position.
Positions (direct):
O (0.3333, 0.6667, 0.9977)  1 Cr 1.69
O (0.1625, 0.8479, 0.6871)  1 Cr 1.73
O (0.6667, 0.3333, 0.0023)  1 Cr 1.69
O (0.1521, 0.3146, 0.6871)  1 Cr 1.73
O (0.6854, 0.8375, 0.6871)  1 Cr 1.73
O (0.8375, 0.1521, 0.3129)  1 Cr 1.73
O (0.3146, 0.1625, 0.3129)  1 Cr 1.73
O (0.8479, 0.6854, 0.3129)  1 Cr 1.73
Ga (0.0000, 0.0000, 0.5000)  6 O 1.98
Cr (0.3333, 0.6667, 0.7528)  4 O 1.69-1.73
Cr (0.6667, 0.3333, 0.2472)  4 O 1.69-1.73
Ac (0.0000, 0.0000, 0.0000)  6 O 2.63

Properties
- DFT total energy: -83.481 eV/f.u.